A plane-wave DFT calculation with PBE was carried out for a relaxed CeSm2Sn crystal.

Results
- Electronic total energy: -4.85 eV/atom
- ρ: 7.71 Mg/m³
- N(E_F): 1.914 states/eV per atom
- Offset from the most stable computed form: 400 meV/atom
- Total magnetization: 0.62 Bohr magnetons per cell
- Energy of formation: -0.53 kJ/mol of atoms
- Space-group type: R-3m (166)

Unit cell a=12.1344 b=12.1344 c=12.1344 alpha=16.15 beta=16.15 gamma=16.15
Atoms (fractional coordinates):
Ce 0.0000 0.0000 0.0000
Sm 0.0924 0.0924 0.0924
Sm 0.9076 0.9076 0.9076
Sn 0.5000 0.5000 0.5000



A plane-wave DFT calculation with PBE was carried out for a relaxed Ce2SmSn2 crystal.

Results
- Electronic total energy: -5.41 eV/atom
- ρ: 7.84 Mg/m³
- N(E_F): 2.462 states/eV per atom
- Total magnetization: 2.39 Bohr magnetons per cell
- Energy of formation: -47.33 kJ/mol of atoms
- Space-group type: R-3m (166)

Unit cell a=6.7003 b=6.7003 c=6.7003 alpha=45.89 beta=45.89 gamma=45.89
Atoms (fractional coordinates):
Ce 0.1961 0.1961 0.1961
Ce 0.8039 0.8039 0.8039
Sm 0.0000 0.0000 0.0000
Sn 0.4079 0.4079 0.4079
Sn 0.5921 0.5921 0.5921



A plane-wave DFT calculation with PBE was carried out for a relaxed CeSm5Sn4 crystal.

Results
- Electronic total energy: -5.08 eV/atom
- ρ: 7.03 Mg/m³
- N(E_F): 1.262 states/eV per atom
- Total magnetization: 1.41 Bohr magnetons per cell
- Energy of formation: -50.40 kJ/mol of atoms
- Space-group type: C2/m (12)

Unit cell a=8.6182 b=8.6182 c=7.2534 alpha=90.18 beta=90.18 gamma=36.82
Atoms (fractional coordinates):
Ce 0.0000 0.0000 0.0000
Sm 0.0000 0.0000 0.5000
Sm 0.3341 0.3341 0.0062
Sm 0.3338 0.3338 0.4900
Sm 0.6662 0.6662 0.5100
Sm 0.6659 0.6659 0.9938
Sn 0.1765 0.1765 0.7492
Sn 0.4915 0.4915 0.7468
Sn 0.5085 0.5085 0.2532
Sn 0.8235 0.8235 0.2508



A plane-wave DFT calculation with PBE was carried out for a relaxed CeSmSn crystal.

Results
- Electronic total energy: -5.34 eV/atom
- ρ: 8.00 Mg/m³
- N(E_F): 2.383 states/eV per atom
- Offset from the most stable computed form: 98 meV/atom
- Total magnetization: 1.82 Bohr magnetons per cell
- Energy of formation: -43.78 kJ/mol of atoms
- Space-group type: P4/nmm (129)

Unit cell a=4.1569 b=4.1569 c=9.8333 alpha=90.00 beta=90.00 gamma=90.00
Atoms (fractional coordinates):
Ce 0.2500 0.2500 0.0893
Ce 0.7500 0.7500 0.9107
Sm 0.2500 0.2500 0.3995
Sm 0.7500 0.7500 0.6005
Sn 0.2500 0.2500 0.7495
Sn 0.7500 0.7500 0.2505



A plane-wave DFT calculation with PBE was carried out for a relaxed CeSmSn2 crystal.

Results
- Electronic total energy: -5.29 eV/atom
- ρ: 7.89 Mg/m³
- N(E_F): 1.966 states/eV per atom
- Total magnetization: 1.12 Bohr magnetons per cell
- Energy of formation: -60.21 kJ/mol of atoms
- Space-group type: P4/mmm (123)

Unit cell a=4.9811 b=4.9811 c=4.4790 alpha=90.00 beta=90.00 gamma=90.00
Atoms (fractional coordinates):
Ce 0.0000 0.0000 0.0000
Sm 0.5000 0.5000 0.0000
Sn 0.0000 0.5000 0.5000
Sn 0.5000 0.0000 0.5000



A plane-wave DFT calculation with PBE was carried out for a relaxed CeSmSn2 crystal.

Results
- Electronic total energy: -5.34 eV/atom
- ρ: 7.37 Mg/m³
- N(E_F): 2.108 states/eV per atom
- Total magnetization: 0.93 Bohr magnetons per cell
- Energy of formation: -65.07 kJ/mol of atoms
- Space-group type: Amm2 (38)

Unit cell a=4.3875 b=6.2861 c=6.2861 alpha=43.29 beta=90.00 gamma=90.00
Atoms (fractional coordinates):
Ce 0.0000 0.0000 0.0000
Sm 0.5000 0.7307 0.7307
Sn 0.0000 0.2741 0.2741
Sn 0.5000 0.4557 0.4557



A plane-wave DFT calculation with PBE was carried out for a relaxed CeSm2Sn crystal.

Results
- Electronic total energy: -5.06 eV/atom
- ρ: 8.08 Mg/m³
- N(E_F): 1.939 states/eV per atom
- Offset from the most stable computed form: 193 meV/atom
- Total magnetization: 0.52 Bohr magnetons per cell
- Energy of formation: -20.48 kJ/mol of atoms
- Space-group type: Fm-3m (225)

Unit cell a=5.4584 b=5.4584 c=5.4584 alpha=60.00 beta=60.00 gamma=60.00
Atoms (fractional coordinates):
Ce 0.0000 0.0000 0.0000
Sm 0.2500 0.2500 0.2500
Sm 0.7500 0.7500 0.7500
Sn 0.5000 0.5000 0.5000



A plane-wave DFT calculation with PBE was carried out for a relaxed Ce3SmSn3 crystal.

Results
- Electronic total energy: -5.35 eV/atom
- ρ: 7.73 Mg/m³
- N(E_F): 2.271 states/eV per atom
- Total magnetization: 5.54 Bohr magnetons per cell
- Energy of formation: -40.23 kJ/mol of atoms
- Space-group type: P6_3/m (176)

Unit cell a=9.2874 b=9.2874 c=5.3297 alpha=90.00 beta=90.00 gamma=120.00
Atoms (fractional coordinates):
Ce 0.0042 0.7729 0.2500
Ce 0.2271 0.2313 0.2500
Ce 0.2313 0.0042 0.7500
Ce 0.7687 0.9958 0.2500
Ce 0.7729 0.7687 0.7500
Ce 0.9958 0.2271 0.7500
Sm 0.3333 0.6667 0.2500
Sm 0.6667 0.3333 0.7500
Sn 0.0725 0.6165 0.7500
Sn 0.3835 0.4559 0.7500
Sn 0.4559 0.0725 0.2500
Sn 0.5441 0.9275 0.7500
Sn 0.6165 0.5441 0.2500
Sn 0.9275 0.3835 0.2500



A plane-wave DFT calculation with PBE was carried out for a relaxed CeSmSn crystal.

Results
- Electronic total energy: -5.10 eV/atom
- ρ: 8.46 Mg/m³
- N(E_F): 2.055 states/eV per atom
- Offset from the most stable computed form: 334 meV/atom
- Total magnetization: 0.61 Bohr magnetons per cell
- Energy of formation: -21.01 kJ/mol of atoms
- Space-group type: P3m1 (156)

Unit cell a=5.2881 b=5.2881 c=3.3167 alpha=90.00 beta=90.00 gamma=120.00
Atoms (fractional coordinates):
Ce 0.0000 0.0000 0.0000
Sm 0.6667 0.3333 0.9968
Sn 0.3333 0.6667 0.5006



A plane-wave DFT calculation with PBE was carried out for a relaxed CeSm2Sn crystal.

Results
- Electronic total energy: -5.14 eV/atom
- ρ: 7.86 Mg/m³
- N(E_F): 1.759 states/eV per atom
- Offset from the most stable computed form: 112 meV/atom
- Total magnetization: 1.36 Bohr magnetons per cell
- Energy of formation: -28.32 kJ/mol of atoms
- Space-group type: P4/mmm (123)

Unit cell a=4.0933 b=4.0933 c=7.0551 alpha=90.00 beta=90.00 gamma=90.00
Atoms (fractional coordinates):
Ce 0.0000 0.0000 0.0000
Sm 0.5000 0.5000 0.2737
Sm 0.5000 0.5000 0.7263
Sn 0.0000 0.0000 0.5000



A plane-wave DFT calculation with PBE was carried out for a relaxed CeSm4Sn4 crystal.

Results
- Electronic total energy: -4.95 eV/atom
- ρ: 6.48 Mg/m³
- N(E_F): 1.813 states/eV per atom
- Total magnetization: 2.94 Bohr magnetons per cell
- Energy of formation: -39.49 kJ/mol of atoms
- Space-group type: P4_2/n (86)

Unit cell a=9.9635 b=9.9635 c=6.2789 alpha=90.00 beta=90.00 gamma=90.00
Atoms (fractional coordinates):
Ce 0.2500 0.2500 0.2500
Ce 0.7500 0.7500 0.7500
Sm 0.0829 0.6533 0.1383
Sm 0.1533 0.9171 0.6383
Sm 0.3467 0.5829 0.6383
Sm 0.4171 0.8467 0.1383
Sm 0.5829 0.1533 0.8617
Sm 0.6533 0.4171 0.3617
Sm 0.8467 0.0829 0.3617
Sm 0.9171 0.3467 0.8617
Sn 0.0305 0.6206 0.6423
Sn 0.1206 0.9695 0.1423
Sn 0.3794 0.5305 0.1423
Sn 0.4695 0.8794 0.6423
Sn 0.5305 0.1206 0.3577
Sn 0.6206 0.4695 0.8577
Sn 0.8794 0.0305 0.8577
Sn 0.9695 0.3794 0.3577



A plane-wave DFT calculation with PBE was carried out for a relaxed TbCeSmSn crystal.

Results
- Electronic total energy: -5.03 eV/atom
- ρ: 8.36 Mg/m³
- N(E_F): 1.922 states/eV per atom
- Total magnetization: 0.55 Bohr magnetons per cell
- Energy of formation: -19.75 kJ/mol of atoms
- Space-group type: F-43m (216)

Unit cell a=5.4249 b=5.4249 c=5.4249 alpha=60.00 beta=60.00 gamma=60.00
Atoms (fractional coordinates):
Tb 0.0000 0.0000 0.0000
Ce 0.2500 0.2500 0.2500
Sm 0.5000 0.5000 0.5000
Sn 0.7500 0.7500 0.7500